(1)
First-principles (GGA-PBE) data for crystalline Ho3Er7Sc2 at its relaxed geometry, as listed in Alexandria.

abc: 5.5692 36.7803 3.5122
angles: 90.00 90.00 90.00
With the nearest neighbours (Å) after each atom.
Space group Cmmm (No. 65)
Symmetry-distinct sites (fractional):
Ho: 0.0000 0.0000 0.0000 x2  4 Er 3.29, 2 Ho 3.51
Ho: 0.0000 0.1841 0.0000 x4  2 Ho 3.51, 4 Sc 3.55, 8 Er 3.61-3.73
Er: 0.0000 0.0946 0.5000 x4  6 Er 3.38-3.51, 2 Sc 3.40, 2 Ho 3.73
Er: 0.0000 0.2700 0.5000 x4  1 Sc 3.03, 2 Er 3.15
Er: 0.0000 0.4265 0.0000 x4  8 Er 3.22-3.51, 2 Sc 3.25
Er: 0.0000 0.5000 0.5000 x2  6 Er 3.22-3.51, 4 Ho 3.29
Sc: 0.0000 0.3523 0.5000 x4  3 Er 3.03-3.25

The value obtained for the total moment is 0.00 μB/f.u. As for the mass density: 8.104 g cm⁻³. The calculation puts the raw total energy at -4.7392 eV per atom. The formation energy from the elements is 0.1222 eV per atom. The excess energy over the best structure of this formula in the dataset is 0.000 eV per atom.

---

(2)
First-principles (GGA-PBE) data for crystalline Ho3Er2Sc3 at its relaxed geometry, as listed in Alexandria.

abc: 22.8750 3.4518 5.9280
angles: 90.00 104.70 90.00
With the nearest neighbours (Å) after each atom.
Space group C2/m (No. 12)
Symmetry-distinct sites (fractional):
Ho: 0.0000 0.0000 0.0000 x2  8 Sc 3.38-3.43, 4 Ho 3.40-3.45
Ho: 0.1231 0.0000 0.4633 x4  6 Sc 3.36-3.46, 3 Ho 3.40-3.45, 3 Er 3.41-3.49
Er: 0.2474 0.0000 0.2438 x4  3 Sc 3.38-3.45, 6 Er 3.39-3.47, 3 Ho 3.41-3.49
Sc: 0.0000 0.5000 0.5000 x2  8 Ho 3.36-3.43, 4 Sc 3.39-3.45
Sc: 0.1238 0.5000 0.9585 x4  6 Ho 3.38-3.46, 3 Er 3.38-3.45, 3 Sc 3.39-3.45

The value obtained for the total moment is 0.00 μB/f.u. As for the mass density: 7.073 g cm⁻³. The calculation puts the raw total energy at -5.2049 eV per atom. The formation energy from the elements is 0.0268 eV per atom.